FeOsC2 (GGA-PBE, optimized geometry); energy above the most stable polymorph in this dataset = 0.0000 eV per atom; DOS(E_F) = 0.0 states/eV per cell; mass density = 10.238 g/cm³; SG = I-42d (122); ΔH_f (0 K) = 13.491 kcal/mol of atoms; uncorrected energy = -0.3289 Ha/atom
1.0
4.440 0.000 0.000
0.000 4.440 0.000
2.220 2.220 4.445
C Os Fe
4 2 2
Cartesian
1.189 3.330 1.111 C
3.251 1.110 1.111 C
3.330 3.409 3.334 C
5.550 5.471 3.334 C
0.000 0.000 0.000 Os
4.440 2.220 2.222 Os
2.220 2.220 0.000 Fe
2.220 4.440 2.222 Fe

Fe3OsC (GGA-PBE, optimized geometry); energy above the most stable polymorph in this dataset = 0.0000 eV per atom; DOS(E_F) = 5.1 states/eV per cell; mass density = 11.392 g/cm³; SG = Pm-3m (221); ΔH_f (0 K) = 7.569 kcal/mol of atoms; uncorrected energy = -0.3249 Ha/atom
1.0
-0.543 0.940 3.618
-3.723 -0.467 -0.437
0.339 -3.629 0.994
Fe Os C
3 1 1
Cartesian
-1.861 -0.234 -0.219 Fe
-0.271 0.470 1.809 Fe
0.169 -1.814 0.497 Fe
-1.964 -1.578 2.087 Os
0.000 0.000 0.000 C

FeOsC2 (GGA-PBE, optimized geometry); energy above the most stable polymorph in this dataset = 0.5800 eV per atom; DOS(E_F) = 2.2 states/eV per cell; mass density = 12.921 g/cm³; SG = Fm-3m (225); ΔH_f (0 K) = 26.866 kcal/mol of atoms; uncorrected energy = -0.3076 Ha/atom
1.0
1.949 0.604 3.040
-1.517 1.766 2.826
-0.799 -1.816 3.078
C Os Fe
2 1 1
Cartesian
-0.092 0.139 2.236 C
-0.275 0.416 6.708 C
-0.183 0.277 4.472 Os
0.000 0.000 0.000 Fe

FeOs2C (GGA-PBE, optimized geometry); DOS(E_F) = 1.9 states/eV per cell; mass density = 12.725 g/cm³; SG = I-42d (122); ΔH_f (0 K) = 22.581 kcal/mol of atoms; uncorrected energy = -0.3329 Ha/atom
1.0
-0.737 4.918 -0.432
-1.189 -0.601 -4.810
-5.472 1.586 -1.435
C Os Fe
2 4 2
Cartesian
-3.812 1.572 -4.433 C
-0.963 2.159 -2.621 C
-1.942 3.160 -1.209 Os
-4.883 2.780 -3.272 Os
-2.238 0.871 -3.440 Os
-5.732 4.996 -5.434 Os
-3.586 4.331 -2.244 Fe
0.000 0.000 0.000 Fe

Fe2OsC (GGA-PBE, optimized geometry); DOS(E_F) = 7.8 states/eV per cell; mass density = 10.041 g/cm³; SG = I-42d (122); ΔH_f (0 K) = 20.034 kcal/mol of atoms; uncorrected energy = -0.3115 Ha/atom
1.0
-4.741 0.548 0.625
-0.762 -4.313 -1.998
-2.442 -3.806 3.349
Os Fe C
2 4 2
Cartesian
-4.967 -2.570 1.644 Os
0.000 0.000 0.000 Os
-2.054 -3.535 -0.284 Fe
-3.956 -4.607 1.839 Fe
-6.587 -5.808 1.469 Fe
-3.294 -1.191 0.929 Fe
-2.752 -1.882 -0.686 C
-2.978 -5.000 0.332 C

Fe3OsC (GGA-PBE, optimized geometry); energy above the most stable polymorph in this dataset = 2.3464 eV per atom; DOS(E_F) = 9.5 states/eV per cell; mass density = 6.505 g/cm³; SG = Pm-3m (221); ΔH_f (0 K) = 61.678 kcal/mol of atoms; uncorrected energy = -0.2386 Ha/atom
1.0
-0.531 1.738 4.174
-2.711 -3.486 1.107
3.619 -2.357 1.442
C Os Fe
1 1 3
Cartesian
0.188 -2.052 3.362 C
0.000 0.000 0.000 Os
-1.356 -1.743 0.553 Fe
-0.266 0.869 2.087 Fe
1.809 -1.178 0.721 Fe

Sc3Fe9OsC2 (GGA-PBE, optimized geometry); DOS(E_F) = 15.0 states/eV per cell; mass density = 7.028 g/cm³; SG = P-3m1 (164); ΔH_f (0 K) = 0.010 kcal/mol of atoms; uncorrected energy = -0.3058 Ha/atom
1.0
-3.500 0.759 -3.784
-0.779 -3.723 3.561
-4.145 5.611 4.959
Fe Sc Os C
9 3 1 2
Cartesian
-1.944 0.409 1.880 Fe
-4.115 -1.095 1.767 Fe
-0.390 -1.862 1.780 Fe
-4.310 3.741 2.969 Fe
-6.085 4.127 1.049 Fe
-2.340 -1.480 3.687 Fe
-6.480 2.238 2.855 Fe
-1.750 0.380 -1.892 Fe
-2.140 -1.482 -0.112 Fe
-4.089 1.024 3.988 Sc
-4.335 1.623 0.748 Sc
0.000 0.000 0.000 Sc
-2.073 2.805 2.480 Os
-6.177 4.116 2.952 C
-2.247 -1.470 1.784 C

ScFeOs2C (GGA-PBE, optimized geometry); DOS(E_F) = 4.2 states/eV per cell; mass density = 12.584 g/cm³; SG = P4/mmm (123); ΔH_f (0 K) = -2.109 kcal/mol of atoms; uncorrected energy = -0.3450 Ha/atom
1.0
-3.538 -2.024 -0.454
1.848 -2.668 -2.508
0.889 -2.234 3.031
Sc Os C Fe
1 2 1 1
Cartesian
-0.401 -3.463 0.034 Sc
-1.769 -1.012 -0.227 Os
0.924 -1.334 -1.254 Os
0.000 0.000 0.000 C
0.444 -1.117 1.515 Fe